(1)
Compound: CsTm2CuTe3S
Source: OQMD
Functional: PBE-GGA
Structure: optimized geometry

Unit cell a=4.266 b=15.260 c=14.926 alpha=90.00 beta=90.00 gamma=90.00
Space group Cmcm (No. 63)
Inequivalent atoms, fractional coordinates:
Cs  0.000  0.092  0.250 (multiplicity 4)
Tm  0.000  0.368  0.077 (multiplicity 8)
Cu  0.000  0.161  0.750 (multiplicity 4)
Te  0.000  0.000  0.000 (multiplicity 4)
Te  0.000  0.265  0.609 (multiplicity 8)
S  0.000  0.415  0.250 (multiplicity 4)

Calculated values
**Excess energy over the best structure of this formula in the dataset**: 0.000 eV per atom
**Size of the total moment**: 0.00 μB/f.u.

***

(2)
Compound: Ta5Re7
Source: OQMD
Functional: PBE-GGA
Structure: optimized geometry

Unit cell a=5.2480 b=5.2480 c=16.8688 alpha=90.00 beta=90.00 gamma=120.00
Space group P6_3/mmc (No. 194)
Inequivalent atoms, fractional coordinates:
Ta  0.1644  0.3288  0.2500 (multiplicity 6)
Ta  0.3333  0.6667  0.6447 (multiplicity 4)
Re  0.0000  0.0000  0.0925 (multiplicity 4)
Re  0.0000  0.5000  0.0000 (multiplicity 6)
Re  0.3333  0.6667  0.1226 (multiplicity 4)

Calculated values
**Formation energy**: 18.3 kJ per mole of atoms
**Excess energy over the best structure of this formula in the dataset**: 0.038 eV per atom
**Size of the total moment**: 0.00 μB/f.u.

***

(3)
Compound: TbSmNi2B2N2
Source: OQMD
Functional: PBE-GGA
Structure: optimized geometry

Unit cell a=3.542 b=3.542 c=7.530 alpha=90.00 beta=90.00 gamma=90.00
Space group P4mm (No. 99)
Inequivalent atoms, fractional coordinates:
Tb  0.000  0.000  0.000 (multiplicity 1)
Sm  0.500  0.500  0.338 (multiplicity 1)
Ni  0.000  0.500  0.670 (multiplicity 2)
B  0.000  0.000  0.509 (multiplicity 1)
B  0.500  0.500  0.825 (multiplicity 1)
N  0.000  0.000  0.316 (multiplicity 1)
N  0.500  0.500  0.019 (multiplicity 1)

Calculated values
**Size of the total moment**: 0.00 μB/f.u.
**Energy**: -7.36 eV/atom

***

(4)
Compound: CsDyF3
Source: OQMD
Functional: PBE-GGA
Structure: optimized geometry

Unit cell a=6.4964 b=6.4964 c=23.3446 alpha=90.00 beta=90.00 gamma=120.00
Space group R-3m (No. 166, hexagonal axes)
Inequivalent atoms, fractional coordinates:
Cs  0.0000  0.0000  0.0000 (multiplicity 3)
Cs  0.0000  0.0000  0.2098 (multiplicity 6)
Dy  0.0000  0.0000  0.3809 (multiplicity 6)
Dy  0.0000  0.0000  0.5000 (multiplicity 3)
F  0.0000  0.5000  0.0000 (multiplicity 9)
F  0.0049  0.5025  0.2272 (multiplicity 18)

Calculated values
**Size of the total moment**: 0.00 μB/f.u.
**Energy**: -5.19 eV/atom

***

What is the formula in the second record?
Ta5Re7